No. 1
# PrFeSi2Ru PBE optimized geometry
# **Total moment**: 0.000 μB per formula unit
# **Calculated density**: 6.98 g/cm3
# **Crystal system**: tetragonal
# **Uncorrected formation energy**: -16.63 kcal/mol of atoms
data_PrFeSi2Ru
_cell_length_a 4.125
_cell_length_b 4.125
_cell_length_c 5.745
_cell_angle_alpha 111.04
_cell_angle_beta 111.04
_cell_angle_gamma 90.00
_symmetry_space_group_name_H-M 'P 1'
_symmetry_Int_Tables_number 1
loop_
_symmetry_equiv_pos_as_xyz
'x,y,z'
loop_
_atom_site_label
_atom_site_type_symbol
_atom_site_fract_x
_atom_site_fract_y
_atom_site_fract_z
_atom_site_occupancy
Pr1 Pr 0.000 0.000 0.000 1
Fe1 Fe 0.750 0.250 0.500 1
Si1 Si 0.637 0.637 0.274 1
Si2 Si 0.363 0.363 0.726 1
Ru1 Ru 0.250 0.750 0.500 1


No. 2
# Cs6Ga3Cl14 PBE optimized geometry
# **Total moment**: 1.044 μB per formula unit
# **Calculated density**: 2.76 g/cm3
# **Crystal system**: trigonal
# **Uncorrected formation energy**: -36.18 kcal/mol of atoms
data_Cs6Ga3Cl14
_cell_length_a 6.906
_cell_length_b 12.305
_cell_length_c 12.305
_cell_angle_alpha 120.00
_cell_angle_beta 90.00
_cell_angle_gamma 90.00
_symmetry_space_group_name_H-M 'P 1'
_symmetry_Int_Tables_number 1
loop_
_symmetry_equiv_pos_as_xyz
'x,y,z'
loop_
_atom_site_label
_atom_site_type_symbol
_atom_site_fract_x
_atom_site_fract_y
_atom_site_fract_z
_atom_site_occupancy
Cs1 Cs 0.255 0.801 0.093 1
Cs2 Cs 0.255 0.907 0.708 1
Cs3 Cs 0.255 0.292 0.199 1
Cs4 Cs 0.796 0.545 0.560 1
Cs5 Cs 0.796 0.440 0.984 1
Cs6 Cs 0.796 0.016 0.455 1
Ga1 Ga 0.824 0.000 0.000 1
Ga2 Ga 0.355 0.333 0.667 1
Ga3 Ga 0.465 0.667 0.333 1
Cl1 Cl 0.944 0.073 0.216 1
Cl2 Cl 0.944 0.784 0.857 1
Cl3 Cl 0.944 0.143 0.927 1
Cl4 Cl 0.465 0.265 0.475 1
Cl5 Cl 0.465 0.525 0.790 1
Cl6 Cl 0.465 0.210 0.735 1
Cl7 Cl 0.472 0.000 0.000 1
Cl8 Cl 0.035 0.333 0.667 1
Cl9 Cl 0.667 0.732 0.214 1
Cl10 Cl 0.667 0.786 0.518 1
Cl11 Cl 0.667 0.482 0.268 1
Cl12 Cl 0.270 0.600 0.454 1
Cl13 Cl 0.270 0.546 0.146 1
Cl14 Cl 0.270 0.854 0.400 1


No. 3
# Na3Sc3RuO8 PBE optimized geometry
# **Total moment**: 2.000 μB per formula unit
# **Calculated density**: 3.80 g/cm3
# **Crystal system**: trigonal
# **Uncorrected formation energy**: -56.45 kcal/mol of atoms
data_Na3Sc3RuO8
_cell_length_a 6.289
_cell_length_b 6.289
_cell_length_c 6.609
_cell_angle_alpha 118.42
_cell_angle_beta 90.00
_cell_angle_gamma 120.00
_symmetry_space_group_name_H-M 'P 1'
_symmetry_Int_Tables_number 1
loop_
_symmetry_equiv_pos_as_xyz
'x,y,z'
loop_
_atom_site_label
_atom_site_type_symbol
_atom_site_fract_x
_atom_site_fract_y
_atom_site_fract_z
_atom_site_occupancy
Na1 Na 0.000 0.000 0.000 1
Na2 Na 0.000 0.500 0.000 1
Na3 Na 0.500 0.500 0.000 1
Sc1 Sc 0.500 0.000 0.500 1
Sc2 Sc 0.500 0.500 0.500 1
Sc3 Sc 0.000 0.500 0.500 1
Ru1 Ru 0.000 0.000 0.500 1
O1 O 0.267 0.533 0.300 1
O2 O 0.733 0.467 0.700 1
O3 O 0.774 0.548 0.303 1
O4 O 0.226 0.452 0.697 1
O5 O 0.774 0.029 0.303 1
O6 O 0.226 0.971 0.697 1
O7 O 0.255 0.029 0.303 1
O8 O 0.745 0.971 0.697 1


No. 4
# Pm3Hg2Pd2Au4 PBE optimized geometry
# **Total moment**: 0.000 μB per formula unit
# **Calculated density**: 11.80 g/cm3
# **Crystal system**: trigonal
# **DFT formation energy**: -591 meV/atom
data_Pm3Hg2Pd2Au4
_cell_length_a 4.763
_cell_length_b 4.763
_cell_length_c 13.155
_cell_angle_alpha 90.00
_cell_angle_beta 90.00
_cell_angle_gamma 120.00
_symmetry_space_group_name_H-M 'P 1'
_symmetry_Int_Tables_number 1
loop_
_symmetry_equiv_pos_as_xyz
'x,y,z'
loop_
_atom_site_label
_atom_site_type_symbol
_atom_site_fract_x
_atom_site_fract_y
_atom_site_fract_z
_atom_site_occupancy
Pm1 Pm 0.000 0.000 0.736 1
Pm2 Pm 0.000 0.000 0.000 1
Pm3 Pm 0.000 0.000 0.264 1
Hg1 Hg 0.667 0.333 0.424 1
Hg2 Hg 0.333 0.667 0.576 1
Pd1 Pd 0.667 0.333 0.866 1
Pd2 Pd 0.333 0.667 0.134 1
Au1 Au 0.667 0.333 0.121 1
Au2 Au 0.333 0.667 0.879 1
Au3 Au 0.667 0.333 0.643 1
Au4 Au 0.333 0.667 0.357 1


No. 5
# LiSiB PBE optimized geometry
# **Total moment**: 0.000 μB per formula unit
# **Calculated density**: 2.35 g/cm3
# **Crystal system**: triclinic
# **Uncorrected formation energy**: -1.19 kcal/mol of atoms
data_LiSiB
_cell_length_a 3.388
_cell_length_b 4.592
_cell_length_c 4.825
_cell_angle_alpha 78.24
_cell_angle_beta 69.19
_cell_angle_gamma 67.95
_symmetry_space_group_name_H-M 'P 1'
_symmetry_Int_Tables_number 1
loop_
_symmetry_equiv_pos_as_xyz
'x,y,z'
loop_
_atom_site_label
_atom_site_type_symbol
_atom_site_fract_x
_atom_site_fract_y
_atom_site_fract_z
_atom_site_occupancy
Li1 Li 0.589 0.176 0.643 1
Li2 Li 0.411 0.824 0.357 1
Si1 Si 0.179 0.725 0.911 1
Si2 Si 0.821 0.275 0.089 1
B1 B 0.126 0.430 0.318 1
B2 B 0.874 0.570 0.682 1


No. 6
# NbMoP3 PBE optimized geometry
# **Total moment**: 2.786 μB per formula unit
# **Calculated density**: 4.67 g/cm3
# **Crystal system**: cubic
# **DFT formation energy**: 792 meV/atom
data_NbMoP3
_cell_length_a 4.643
_cell_length_b 4.643
_cell_length_c 4.643
_cell_angle_alpha 90.00
_cell_angle_beta 90.00
_cell_angle_gamma 90.00
_symmetry_space_group_name_H-M 'P 1'
_symmetry_Int_Tables_number 1
loop_
_symmetry_equiv_pos_as_xyz
'x,y,z'
loop_
_atom_site_label
_atom_site_type_symbol
_atom_site_fract_x
_atom_site_fract_y
_atom_site_fract_z
_atom_site_occupancy
P1 P 0.000 0.500 0.000 1
P2 P 0.000 0.000 0.500 1
P3 P 0.500 0.000 0.000 1
Mo1 Mo 0.000 0.000 0.000 1
Nb1 Nb 0.500 0.500 0.500 1


No. 7
# DyTmThTl PBE optimized geometry
# **Total moment**: 0.653 μB per formula unit
# **Calculated density**: 11.11 g/cm3
# **Crystal system**: cubic
# **DFT formation energy**: 81 meV/atom
data_DyTmThTl
_cell_length_a 5.454
_cell_length_b 5.454
_cell_length_c 5.454
_cell_angle_alpha 60.00
_cell_angle_beta 60.00
_cell_angle_gamma 60.00
_symmetry_space_group_name_H-M 'P 1'
_symmetry_Int_Tables_number 1
loop_
_symmetry_equiv_pos_as_xyz
'x,y,z'
loop_
_atom_site_label
_atom_site_type_symbol
_atom_site_fract_x
_atom_site_fract_y
_atom_site_fract_z
_atom_site_occupancy
Tl1 Tl 0.000 0.000 0.000 1
Tm1 Tm 0.750 0.750 0.750 1
Th1 Th 0.500 0.500 0.500 1
Dy1 Dy 0.250 0.250 0.250 1


No. 8
# MoRuPb2Br PBE optimized geometry
# **Total moment**: 5.017 μB per formula unit
# **Calculated density**: 7.80 g/cm3
# **Crystal system**: tetragonal
# **Uncorrected formation energy**: 26.60 kcal/mol of atoms
data_MoRuPb2Br
_cell_length_a 5.292
_cell_length_b 5.292
_cell_length_c 5.253
_cell_angle_alpha 90.00
_cell_angle_beta 90.00
_cell_angle_gamma 90.00
_symmetry_space_group_name_H-M 'P 1'
_symmetry_Int_Tables_number 1
loop_
_symmetry_equiv_pos_as_xyz
'x,y,z'
loop_
_atom_site_label
_atom_site_type_symbol
_atom_site_fract_x
_atom_site_fract_y
_atom_site_fract_z
_atom_site_occupancy
Pb1 Pb 0.000 0.500 0.000 1
Pb2 Pb 0.500 0.000 0.000 1
Ru1 Ru 0.000 0.000 0.000 1
Mo1 Mo 0.500 0.500 0.500 1
Br1 Br 0.000 0.000 0.500 1


What is the formula in the second record?
Cs6Ga3Cl14


What did the fifth record say?
# LiSiB PBE optimized geometry
# **Total moment**: 0.000 μB per formula unit
# **Calculated density**: 2.35 g/cm3
# **Crystal system**: triclinic
# **Uncorrected formation energy**: -1.19 kcal/mol of atoms
data_LiSiB
_cell_length_a 3.388
_cell_length_b 4.592
_cell_length_c 4.825
_cell_angle_alpha 78.24
_cell_angle_beta 69.19
_cell_angle_gamma 67.95
_symmetry_space_group_name_H-M 'P 1'
_symmetry_Int_Tables_number 1
loop_
_symmetry_equiv_pos_as_xyz
'x,y,z'
loop_
_atom_site_label
_atom_site_type_symbol
_atom_site_fract_x
_atom_site_fract_y
_atom_site_fract_z
_atom_site_occupancy
Li1 Li 0.589 0.176 0.643 1
Li2 Li 0.411 0.824 0.357 1
Si1 Si 0.179 0.725 0.911 1
Si2 Si 0.821 0.275 0.089 1
B1 B 0.126 0.430 0.318 1
B2 B 0.874 0.570 0.682 1